# CuSbPtO6 | Alexandria via LeMat-Bulk | GGA-PBE | relaxed
# * magnetic moment: 0.1732 μB/atom
# * total energy: -5.61 eV per atom
# * E_form (uncorrected): -0.72 eV/atom
data_CuSbPtO6
_chemical_formula_sum 'Cu2 Sb2 Pt2 O12'
_space_group_name_H-M_alt 'P -3 1 c'
_space_group_IT_number 163
_space_group_name_Hall '-P 3 2c'
_cell_length_a 5.2253
_cell_length_b 5.2253
_cell_length_c 8.7741
_cell_angle_alpha 90.00
_cell_angle_beta 90.00
_cell_angle_gamma 120.00
loop_
_atom_site_label
_atom_site_type_symbol
_atom_site_fract_x
_atom_site_fract_y
_atom_site_fract_z
_atom_site_occupancy
Cu1 Cu 0.0000 0.0000 0.0000 1
Sb1 Sb 0.3333 0.6667 0.2500 1
Pt1 Pt 0.3333 0.6667 0.7500 1
O1 O 0.0024 0.3490 0.6270 1

***

# K2RuRh | Alexandria via LeMat-Bulk | GGA-PBE | relaxed
# * energy above the lowest structure with this stoichiometry: 0 meV per atom
# * magnetic moment: 0.0001 μB/atom
# * total energy: -4.17 eV per atom
# * formation energy: 532 meV per atom
data_K2RuRh
_chemical_formula_sum 'K2 Ru1 Rh1'
_space_group_name_H-M_alt 'P 1 m 1'
_space_group_IT_number 6
_space_group_name_Hall 'P -2y'
_cell_length_a 2.8740
_cell_length_b 3.9410
_cell_length_c 10.0035
_cell_angle_alpha 90.00
_cell_angle_beta 91.61
_cell_angle_gamma 90.00
loop_
_atom_site_label
_atom_site_type_symbol
_atom_site_fract_x
_atom_site_fract_y
_atom_site_fract_z
_atom_site_occupancy
K1 K 0.0000 0.0000 0.0000 1
K2 K 0.4424 0.5000 0.4283 1
Ru1 Ru 0.9646 0.0000 0.6757 1
Rh1 Rh 0.4730 0.5000 0.7570 1

***

# Cs12ClO3F4 | Alexandria via LeMat-Bulk | GGA-PBE | relaxed
# * magnetic moment: 0.0000 μB/atom
# * total energy: -3.34 eV per atom
# * E_form (uncorrected): -1.62 eV/atom
data_Cs12ClO3F4
_chemical_formula_sum 'Cs24 Cl2 O6 F8'
_space_group_name_H-M_alt 'I m -3'
_space_group_IT_number 204
_space_group_name_Hall '-I 2 2 3'
_cell_length_a 11.2711
_cell_length_b 11.2711
_cell_length_c 11.2711
_cell_angle_alpha 90.00
_cell_angle_beta 90.00
_cell_angle_gamma 90.00
loop_
_atom_site_label
_atom_site_type_symbol
_atom_site_fract_x
_atom_site_fract_y
_atom_site_fract_z
_atom_site_occupancy
Cs1 Cs 0.0000 0.3211 0.1723 1
Cl1 Cl 0.0000 0.0000 0.0000 1
O1 O 0.0000 0.0000 0.5000 1
F1 F 0.2500 0.2500 0.2500 1

***

# PaB2Os | Alexandria via LeMat-Bulk | GGA-PBE | relaxed
# * energy above the lowest structure with this stoichiometry: 358 meV per atom
# * magnetic moment: 0.0000 μB/atom
# * total energy: -8.66 eV per atom
# * formation energy: -137 meV per atom
data_PaB2Os
_chemical_formula_sum 'Pa3 B6 Os3'
_space_group_name_H-M_alt 'R -3 m'
_space_group_IT_number 166
_space_group_name_Hall '-R 3 2"'
_cell_length_a 3.4380
_cell_length_b 3.4380
_cell_length_c 16.1248
_cell_angle_alpha 90.00
_cell_angle_beta 90.00
_cell_angle_gamma 120.00
loop_
_atom_site_label
_atom_site_type_symbol
_atom_site_fract_x
_atom_site_fract_y
_atom_site_fract_z
_atom_site_occupancy
Pa1 Pa 0.0000 0.0000 0.0000 1
B1 B 0.0000 0.0000 0.2255 1
Os1 Os 0.0000 0.0000 0.5000 1

***

# Cs6Ag3F14 | Alexandria via LeMat-Bulk | GGA-PBE | relaxed
# * magnetic moment: 0.1682 μB/atom
# * total energy: -3.65 eV per atom
# * E_form (uncorrected): -1.91 eV/atom
data_Cs6Ag3F14
_chemical_formula_sum 'Cs6 Ag3 F14'
_space_group_name_H-M_alt 'P 3'
_space_group_IT_number 143
_space_group_name_Hall 'P 3'
_cell_length_a 10.3228
_cell_length_b 10.3228
_cell_length_c 6.5533
_cell_angle_alpha 90.00
_cell_angle_beta 90.00
_cell_angle_gamma 120.00
loop_
_atom_site_label
_atom_site_type_symbol
_atom_site_fract_x
_atom_site_fract_y
_atom_site_fract_z
_atom_site_occupancy
Cs1 Cs 0.0542 0.2770 0.0000 1
Cs2 Cs 0.4560 0.4260 0.5297 1
Ag1 Ag 0.0000 0.0000 0.5349 1
Ag2 Ag 0.3333 0.6667 0.1763 1
Ag3 Ag 0.6667 0.3333 0.0743 1
F1 F 0.0000 0.0000 0.2090 1
F2 F 0.1461 0.6093 0.9973 1
F3 F 0.1952 0.1546 0.7020 1
F4 F 0.2089 0.4805 0.3598 1
F5 F 0.4667 0.1994 0.2437 1
F6 F 0.6667 0.3333 0.7493 1

***

# ZnSiIrRu | Alexandria via LeMat-Bulk | GGA-PBE | relaxed
# * magnetic moment: 0.0000 μB/atom
# * total energy: -6.63 eV per atom
# * E_form (uncorrected): -0.43 eV/atom
data_ZnSiIrRu
_chemical_formula_sum 'Zn4 Si4 Ir4 Ru4'
_space_group_name_H-M_alt 'F -4 3 m'
_space_group_IT_number 216
_space_group_name_Hall 'F -4 2 3'
_cell_length_a 5.9610
_cell_length_b 5.9610
_cell_length_c 5.9610
_cell_angle_alpha 90.00
_cell_angle_beta 90.00
_cell_angle_gamma 90.00
loop_
_atom_site_label
_atom_site_type_symbol
_atom_site_fract_x
_atom_site_fract_y
_atom_site_fract_z
_atom_site_occupancy
Zn1 Zn 0.0000 0.0000 0.0000 1
Si1 Si 0.0000 0.0000 0.5000 1
Ir1 Ir 0.2500 0.2500 0.2500 1
Ru1 Ru 0.2500 0.2500 0.7500 1

***

# Zr2SiAs | Alexandria via LeMat-Bulk | GGA-PBE | relaxed
# * energy above the lowest structure with this stoichiometry: 230 meV per atom
# * magnetic moment: 0.0000 μB/atom
# * total energy: -7.48 eV per atom
# * E_form (uncorrected): -0.68 eV/atom
data_Zr2SiAs
_chemical_formula_sum 'Zr2 Si1 As1'
_space_group_name_H-M_alt 'P 1 2/m 1'
_space_group_IT_number 10
_space_group_name_Hall '-P 2y'
_cell_length_a 3.3159
_cell_length_b 3.7264
_cell_length_c 6.3925
_cell_angle_alpha 90.00
_cell_angle_beta 104.64
_cell_angle_gamma 90.00
loop_
_atom_site_label
_atom_site_type_symbol
_atom_site_fract_x
_atom_site_fract_y
_atom_site_fract_z
_atom_site_occupancy
Zr1 Zr 0.0052 0.0000 0.2551 1
Si1 Si 0.5000 0.5000 0.5000 1
As1 As 0.5000 0.5000 0.0000 1

***

# Sm5Ho8Sc | Alexandria via LeMat-Bulk | GGA-PBE | relaxed
# * magnetic moment: 0.0000 μB/atom
# * total energy: -4.61 eV per atom
# * formation energy: 144 meV per atom
data_Sm5Ho8Sc
_chemical_formula_sum 'Sm5 Ho8 Sc1'
_space_group_name_H-M_alt 'P 1'
_space_group_IT_number 1
_space_group_name_Hall 'P 1'
_cell_length_a 8.4270
_cell_length_b 8.4508
_cell_length_c 8.5902
_cell_angle_alpha 114.66
_cell_angle_beta 118.78
_cell_angle_gamma 94.82
loop_
_atom_site_label
_atom_site_type_symbol
_atom_site_fract_x
_atom_site_fract_y
_atom_site_fract_z
_atom_site_occupancy
Sm1 Sm 0.0000 0.0000 0.0000 1
Sm2 Sm 0.0308 0.8707 0.3057 1
Sm3 Sm 0.2058 0.8077 0.7320 1
Sm4 Sm 0.7127 0.5489 0.2914 1
Sm5 Sm 0.9047 0.4741 0.7733 1
Ho1 Ho 0.0843 0.4531 0.2527 1
Ho2 Ho 0.2483 0.3753 0.6584 1
Ho3 Ho 0.2846 0.2725 0.9958 1
Ho4 Ho 0.3690 0.7760 0.2003 1
Ho5 Ho 0.5622 0.6890 0.6446 1
Ho6 Ho 0.5704 0.1431 0.7731 1
Ho7 Ho 0.7014 0.1085 0.2011 1
Ho8 Ho 0.8462 0.0123 0.5863 1
Sc1 Sc 0.4349 0.2333 0.3902 1

***

Among the records above, which one has the highest magnetic moment? CuSbPtO6

***

Which value of total energy does entry 1 give? -5.61 eV per atom